The following is a DFT calculation (PBE) of crystalline MgNb2ZnAu at its relaxed geometry.

Output
SG ... P4/mmm
ΔH_f (0 K) ... 0.90 eV per atom
D(E_F) ... 3.569 states/eV per cell

```
MgNb2ZnAu
1.0
4.763 0.000 0.000
0.000 4.763 0.000
0.000 0.000 4.570
Mg Nb Zn Au
1 2 1 1
Direct
0.000 0.000 0.000
0.000 0.500 0.500
0.500 0.000 0.500
0.000 0.000 0.500
0.500 0.500 0.000
```

The following is a DFT calculation (PBE) of crystalline Nd2MgAu at its relaxed geometry.

Output
Energy above the most stable polymorph in this dataset ... 204.5 meV per atom
SG ... R-3m
ΔH_f (0 K) ... -0.23 eV per atom
D(E_F) ... 5.012 states/eV per cell

```
Nd2MgAu
1.0
1.951 1.126 9.371
-1.951 1.126 9.371
0.000 -2.253 9.371
Nd Mg Au
2 1 1
Direct
0.239 0.239 0.239
0.761 0.761 0.761
0.000 0.000 0.000
0.500 0.500 0.500
```

The following is a DFT calculation (PBE) of crystalline Nd3MgAu4 at its relaxed geometry.

Output
Energy above the most stable polymorph in this dataset ... 84.6 meV per atom
SG ... Immm
ΔH_f (0 K) ... -0.66 eV per atom
D(E_F) ... 5.862 states/eV per cell

```
Nd3MgAu4
1.0
-2.023 3.514 7.536
2.023 -3.514 7.536
2.023 3.514 -7.536
Nd Mg Au
3 1 4
Direct
0.000 0.000 0.000
0.302 0.802 0.500
0.698 0.198 0.500
0.500 0.500 0.000
0.084 0.376 0.708
0.332 0.624 0.708
0.668 0.376 0.292
0.916 0.624 0.292
```

The following is a DFT calculation (PBE) of crystalline Nd8MgAu2 at its relaxed geometry.

Output
SG ... C2/m
ΔH_f (0 K) ... -0.27 eV per atom
D(E_F) ... 11.434 states/eV per cell

```
Nd8MgAu2
1.0
9.323 -2.631 0.000
9.323 2.631 0.000
-2.244 0.000 6.992
Nd Mg Au
8 1 2
Direct
0.029 0.029 0.261
0.192 0.192 0.819
0.327 0.327 0.525
0.409 0.409 0.027
0.591 0.591 0.973
0.673 0.673 0.475
0.808 0.808 0.181
0.971 0.971 0.739
0.500 0.500 0.500
0.183 0.183 0.218
0.817 0.817 0.782
```

The following is a DFT calculation (PBE) of crystalline NdMg4Au5 at its relaxed geometry.

Output
SG ... P4/mmm
ΔH_f (0 K) ... -0.63 eV per atom
D(E_F) ... 3.189 states/eV per cell

```
NdMg4Au5
1.0
3.411 0.000 0.000
0.000 3.411 0.000
0.000 0.000 16.743
Nd Mg Au
1 4 5
Direct
0.000 0.000 0.000
0.000 0.000 0.217
0.000 0.000 0.406
0.000 0.000 0.594
0.000 0.000 0.783
0.500 0.500 0.126
0.500 0.500 0.312
0.500 0.500 0.500
0.500 0.500 0.688
0.500 0.500 0.874
```

The following is a DFT calculation (PBE) of crystalline NdMg3Au4 at its relaxed geometry.

Output
SG ... R-3m
ΔH_f (0 K) ... -0.66 eV per atom
D(E_F) ... 3.602 states/eV per cell

```
NdMg3Au4
1.0
2.343 1.353 8.637
-2.343 1.353 8.637
0.000 -2.705 8.637
Nd Mg Au
1 3 4
Direct
0.000 0.000 0.000
0.241 0.241 0.241
0.500 0.500 0.500
0.759 0.759 0.759
0.128 0.128 0.128
0.394 0.394 0.394
0.606 0.606 0.606
0.872 0.872 0.872
```

The following is a DFT calculation (PBE) of crystalline NdMg5Au6 at its relaxed geometry.

Output
SG ... P2/m
ΔH_f (0 K) ... -0.61 eV per atom
D(E_F) ... 3.524 states/eV per cell

```
NdMg5Au6
1.0
4.790 0.000 0.000
0.000 6.855 0.000
-2.346 0.000 7.177
Nd Mg Au
1 5 6
Direct
0.000 0.000 0.000
0.000 0.500 0.000
0.327 0.000 0.656
0.333 0.500 0.674
0.667 0.500 0.326
0.673 0.000 0.344
0.178 0.265 0.348
0.178 0.735 0.348
0.500 0.274 0.000
0.500 0.726 0.000
0.822 0.265 0.652
0.822 0.735 0.652
```

The following is a DFT calculation (PBE) of crystalline NdMgAu at its relaxed geometry.

Output
SG ... I4mm
ΔH_f (0 K) ... -0.47 eV per atom
D(E_F) ... 3.219 states/eV per cell

```
NdMgAu
1.0
-1.773 1.773 5.811
1.773 -1.773 5.811
1.773 1.773 -5.811
Nd Mg Au
1 1 1
Direct
0.000 0.000 0.000
0.709 0.709 0.000
0.328 0.328 0.000
```

The following is a DFT calculation (PBE) of crystalline Nd2Mg12Au7 at its relaxed geometry.

Output
SG ... P-6
ΔH_f (0 K) ... -0.56 eV per atom
D(E_F) ... 9.439 states/eV per cell

```
Nd2Mg12Au7
1.0
11.141 0.000 0.000
-5.570 9.648 0.000
0.000 0.000 4.188
Nd Mg Au
2 12 7
Direct
0.000 0.000 0.000
0.333 0.667 0.500
0.054 0.288 0.500
0.098 0.714 0.000
0.234 0.946 0.500
0.286 0.384 0.000
0.388 0.171 0.000
0.536 0.426 0.500
0.574 0.110 0.500
0.616 0.902 0.000
0.712 0.766 0.500
0.783 0.612 0.000
0.829 0.217 0.000
0.890 0.464 0.500
0.086 0.465 0.000
0.245 0.202 0.500
0.379 0.914 0.000
0.535 0.621 0.000
0.667 0.333 0.000
0.798 0.043 0.500
0.957 0.755 0.500
```

The following is a DFT calculation (PBE) of crystalline NdMg3Au3 at its relaxed geometry.

Output
Energy above the most stable polymorph in this dataset ... 0.0 meV per atom
SG ... P6_3/m
ΔH_f (0 K) ... -0.58 eV per atom
D(E_F) ... 5.055 states/eV per cell

```
NdMg3Au3
1.0
8.767 0.000 0.000
-4.384 7.593 0.000
0.000 0.000 4.644
Nd Mg Au
2 6 6
Direct
0.333 0.667 0.250
0.667 0.333 0.750
0.021 0.764 0.750
0.236 0.257 0.750
0.257 0.021 0.250
0.743 0.979 0.750
0.764 0.743 0.250
0.979 0.236 0.250
0.061 0.439 0.750
0.378 0.939 0.750
0.439 0.378 0.250
0.561 0.622 0.750
0.622 0.061 0.250
0.939 0.561 0.250
```

The following is a DFT calculation (PBE) of crystalline Nd3MgAu4 at its relaxed geometry.

Output
Energy above the most stable polymorph in this dataset ... 0.0 meV per atom
SG ... R-3m
ΔH_f (0 K) ... -0.74 eV per atom
D(E_F) ... 5.088 states/eV per cell

```
Nd3MgAu4
1.0
2.580 1.490 8.403
-2.580 1.490 8.403
0.000 -2.979 8.403
Nd Mg Au
3 1 4
Direct
0.000 0.000 0.000
0.243 0.243 0.243
0.757 0.757 0.757
0.500 0.500 0.500
0.122 0.122 0.122
0.376 0.376 0.376
0.624 0.624 0.624
0.878 0.878 0.878
```

The following is a DFT calculation (PBE) of crystalline Nd3Mg7Au4 at its relaxed geometry.

Output
SG ... C2/m
ΔH_f (0 K) ... -0.52 eV per atom
D(E_F) ... 9.764 states/eV per cell

```
Nd3Mg7Au4
1.0
8.349 -2.248 0.000
8.349 2.248 0.000
-5.881 0.000 8.681
Nd Mg Au
3 7 4
Direct
0.000 0.000 0.000
0.307 0.307 0.295
0.693 0.693 0.705
0.000 0.000 0.500
0.165 0.165 0.429
0.320 0.320 0.983
0.489 0.489 0.701
0.511 0.511 0.299
0.680 0.680 0.017
0.835 0.835 0.571
0.114 0.114 0.829
0.338 0.338 0.736
0.662 0.662 0.264
0.886 0.886 0.171
```